No. 1
# BaZn2Cu meta-GGA SCAN single point on PBEsol structure
# ΔH_f (0 K)   -0.190 eV per atom
# E   -20.635 eV/atom
data_BaZn2Cu
_chemical_formula_sum 'Ba3 Zn6 Cu3'
_space_group_name_H-M_alt 'R -3 m'
_space_group_IT_number 166
_space_group_name_Hall '-R 3 2"'
_cell_length_a 4.2710
_cell_length_b 4.2710
_cell_length_c 17.2694
_cell_angle_alpha 90.00
_cell_angle_beta 90.00
_cell_angle_gamma 120.00
loop_
_atom_site_label
_atom_site_type_symbol
_atom_site_fract_x
_atom_site_fract_y
_atom_site_fract_z
Ba1 Ba 0.0000 0.0000 0.0000
Zn1 Zn 0.0000 0.0000 0.1907
Cu1 Cu 0.0000 0.0000 0.5000

No. 2
# AlNi2Sb meta-GGA SCAN single point on PBEsol structure
# Formation energy (no corrections)   -216 meV per atom
# E   -19.556 eV/atom
data_AlNi2Sb
_chemical_formula_sum 'Al1 Ni2 Sb1'
_space_group_name_H-M_alt 'P 4/m m m'
_space_group_IT_number 123
_space_group_name_Hall '-P 4 2'
_cell_length_a 3.0537
_cell_length_b 3.0537
_cell_length_c 6.0039
_cell_angle_alpha 90.00
_cell_angle_beta 90.00
_cell_angle_gamma 90.00
loop_
_atom_site_label
_atom_site_type_symbol
_atom_site_fract_x
_atom_site_fract_y
_atom_site_fract_z
Al1 Al 0.0000 0.0000 0.0000
Ni1 Ni 0.5000 0.5000 0.2150
Sb1 Sb 0.0000 0.0000 0.5000

No. 3
# LaYCr2W meta-GGA SCAN single point on PBEsol structure
# ΔH_f (0 K)   2.208 eV per atom
# E   -33.273 eV/atom
data_LaYCr2W
_chemical_formula_sum 'La1 Y1 Cr2 W1'
_space_group_name_H-M_alt 'P 4/m m m'
_space_group_IT_number 123
_space_group_name_Hall '-P 4 2'
_cell_length_a 4.6237
_cell_length_b 4.6237
_cell_length_c 5.2503
_cell_angle_alpha 90.00
_cell_angle_beta 90.00
_cell_angle_gamma 90.00
loop_
_atom_site_label
_atom_site_type_symbol
_atom_site_fract_x
_atom_site_fract_y
_atom_site_fract_z
La1 La 0.0000 0.0000 0.0000
Y1 Y 0.0000 0.0000 0.5000
Cr1 Cr 0.0000 0.5000 0.5000
W1 W 0.5000 0.5000 0.0000

No. 4
# BaAl2Rh meta-GGA SCAN single point on PBEsol structure
# ΔH_f (0 K)   0.414 eV per atom
# E   -21.793 eV/atom
data_BaAl2Rh
_chemical_formula_sum 'Ba2 Al4 Rh2'
_space_group_name_H-M_alt 'C m m m'
_space_group_IT_number 65
_space_group_name_Hall '-C 2 2'
_cell_length_a 5.6986
_cell_length_b 9.6394
_cell_length_c 3.0805
_cell_angle_alpha 90.00
_cell_angle_beta 90.00
_cell_angle_gamma 90.00
loop_
_atom_site_label
_atom_site_type_symbol
_atom_site_fract_x
_atom_site_fract_y
_atom_site_fract_z
Ba1 Ba 0.0000 0.0000 0.0000
Al1 Al 0.2500 0.2500 0.5000
Rh1 Rh 0.0000 0.5000 0.0000

No. 5
# BaTc2BiAu meta-GGA SCAN single point on PBEsol structure
# ΔH_f (0 K)   1.402 eV per atom
# E   -50.080 eV/atom
data_BaTc2BiAu
_chemical_formula_sum 'Ba1 Tc2 Bi1 Au1'
_space_group_name_H-M_alt 'P 4/m m m'
_space_group_IT_number 123
_space_group_name_Hall '-P 4 2'
_cell_length_a 5.0402
_cell_length_b 5.0402
_cell_length_c 6.4969
_cell_angle_alpha 90.00
_cell_angle_beta 90.00
_cell_angle_gamma 90.00
loop_
_atom_site_label
_atom_site_type_symbol
_atom_site_fract_x
_atom_site_fract_y
_atom_site_fract_z
Ba1 Ba 0.0000 0.0000 0.0000
Tc1 Tc 0.0000 0.5000 0.5000
Bi1 Bi 0.0000 0.0000 0.5000
Au1 Au 0.5000 0.5000 0.0000

No. 6
# Th3Bi4 meta-GGA SCAN single point on PBEsol structure
# ΔH_f (0 K)   -0.696 eV per atom
# E   -86.706 eV/atom
data_Th3Bi4
_chemical_formula_sum 'Th12 Bi16'
_space_group_name_H-M_alt 'I -4 3 d'
_space_group_IT_number 220
_space_group_name_Hall 'I -4bd 2c 3'
_cell_length_a 9.5389
_cell_length_b 9.5389
_cell_length_c 9.5389
_cell_angle_alpha 90.00
_cell_angle_beta 90.00
_cell_angle_gamma 90.00
loop_
_atom_site_label
_atom_site_type_symbol
_atom_site_fract_x
_atom_site_fract_y
_atom_site_fract_z
Th1 Th 0.0000 0.2500 0.3750
Bi1 Bi 0.0799 0.0799 0.0799